# 1
An optimized crystal structure of BiN. Source: the Alexandria database, functional PBE-GGA.

Structure (POSCAR):
```
BiN
1.0
-0.6925 8.5797 5.6190
-6.0981 -4.8726 6.6884
2.7758 -0.9704 1.8238
Bi N
8 8
direct
0.2353 0.5766 0.0000
0.9234 0.7353 0.5000
0.2647 0.9234 0.5000
0.4234 0.2353 0.0000
0.0766 0.2647 0.5000
0.7647 0.4234 0.0000
0.5766 0.7647 0.0000
0.7353 0.0766 0.5000
0.3390 0.1317 0.5000
0.1610 0.3683 0.0000
0.8683 0.3390 0.5000
0.1317 0.6610 0.5000
0.6610 0.8683 0.5000
0.6317 0.1610 0.0000
0.8390 0.6317 0.0000
0.3683 0.8390 0.0000
```

Output
total magnetic moment: 0.000 μB per cell
formation energy without anion corrections: 0.66 eV per atom
final energy: -5.44 eV per atom

***

# 2
An optimized crystal structure of Ir2RhSe. Source: the Alexandria database, functional PBE-GGA.

Structure (POSCAR):
```
Ir2RhSe
1.0
-1.1440 -4.0560 -1.3739
1.6934 -1.6261 -3.7597
2.9514 -3.3038 0.1455
Ir Rh Se
2 1 1
direct
0.2500 0.2500 0.2500
0.0000 0.0000 0.0000
0.5000 0.5000 0.5000
0.7500 0.7500 0.7500
```

Output
total magnetic moment: 0.433 μB per cell
formation energy without anion corrections: 0.55 eV per atom
final energy: -6.59 eV per atom

***

# 3
An optimized crystal structure of Er15Tm4Mg. Source: the Alexandria database, functional PBE-GGA.

Structure (POSCAR):
```
Er15Tm4Mg
1.0
4.9329 0.0000 0.0000
0.0000 4.9330 0.0000
0.0000 0.0000 24.7067
Er Tm Mg
15 4 1
direct
0.5000 0.0000 0.2985
0.5000 0.0000 0.7015
0.5000 0.5000 0.3990
0.5000 0.0000 0.9013
0.5000 0.0000 0.0987
0.0000 0.5000 0.0987
0.5000 0.0000 0.5000
0.0000 0.5000 0.5000
0.0000 0.5000 0.2985
0.5000 0.5000 0.6010
0.5000 0.5000 0.8034
0.5000 0.5000 0.1966
0.0000 0.5000 0.9013
0.0000 0.5000 0.7015
0.5000 0.5000 0.0000
0.0000 0.0000 0.3991
0.0000 0.0000 0.6009
0.0000 0.0000 0.1982
0.0000 0.0000 0.8018
0.0000 0.0000 0.0000
```

Output
E_form: 0.463 eV per formula unit
total magnetic moment: 0.001 μB per cell
final energy: -4.37 eV per atom

***

# 4
An optimized crystal structure of BiAsPb2. Source: the Alexandria database, functional PBE-GGA.

Structure (POSCAR):
```
BiAsPb2
1.0
-2.0841 -4.8314 -1.4340
-5.4028 -0.7431 -0.0147
-2.6676 -0.5240 -4.7278
Pb As Bi
2 1 1
direct
0.7500 0.7500 0.7500
0.2500 0.2500 0.2500
0.0000 0.0000 0.0000
0.5000 0.5000 0.5000
```

Output
E_form: 0.691 eV per formula unit
total magnetic moment: 0.000 μB per cell
final energy: -3.81 eV per atom

***

# 5
An optimized crystal structure of GeBiAu3. Source: the Alexandria database, functional PBE-GGA.

Structure (POSCAR):
```
GeBiAu3
1.0
5.3608 0.0000 0.0000
0.0000 5.3608 0.0000
0.0000 0.0000 5.3608
Au Ge Bi
3 1 1
direct
0.0000 0.5000 0.0000
0.5000 0.0000 0.0000
0.0000 0.0000 0.5000
0.5000 0.5000 0.5000
0.0000 0.0000 0.0000
```

Output
E_form: 4.108 eV per formula unit
total magnetic moment: 0.000 μB per cell
final energy: -2.84 eV per atom

***

# 6
An optimized crystal structure of K2InCl. Source: the Alexandria database, functional PBE-GGA.

Structure (POSCAR):
```
K2InCl
1.0
9.0947 0.0000 0.0000
0.0000 9.0947 0.0000
4.5474 4.5474 4.0265
Cl In K
2 2 4
direct
0.2500 0.7500 0.5000
0.5000 0.5000 0.0000
0.0000 0.0000 0.0000
0.7500 0.2500 0.5000
0.5621 0.1250 0.2500
0.1879 0.6250 0.2500
0.8750 0.8121 0.7500
0.3750 0.4379 0.7500
```

Output
total magnetic moment: 0.000 μB per cell
formation energy without anion corrections: -0.69 eV per atom
final energy: -2.38 eV per atom